1.
Here is a relaxed structure of Y2WAu from Alexandria via LeMat-Bulk. Energies are from PBE.

Cell: 5.828 5.828 5.333 Å, 106.71 106.71 31.89°
Sites, in units of the cell vectors:
Y 0.000 0.000 0.000
Y 0.198 0.198 0.627
W 0.751 0.751 0.149
Au 0.444 0.444 0.469

## Properties
Calculated formation energy   0.3 eV per formula unit
Symmetry   Cm, No. 8
Raw total energy   -7.22 eV/atom
V   91.31 Å³/f.u.
Distance to the lowest polymorph of the same formula   0.106 eV per atom

2.
Here is a relaxed structure of Al3Zn2Ag2 from Alexandria via LeMat-Bulk. Energies are from PBE.

Cell: 6.848 6.848 6.416 Å, 116.25 116.25 26.24°
Sites, in units of the cell vectors:
Al 0.000 0.000 0.000
Al 0.219 0.219 0.135
Al 0.781 0.781 0.865
Zn 0.441 0.441 0.266
Zn 0.559 0.559 0.734
Ag 0.145 0.145 0.472
Ag 0.855 0.855 0.528

## Properties
Calculated formation energy   0.2 eV per formula unit
Symmetry   C2/m, No. 12
Raw total energy   -2.76 eV/atom
V   118.50 Å³/f.u.
Distance to the lowest polymorph of the same formula   0.000 eV per atom

Number 1: DOS(E_F) 3.7 states/eV per cell. Number 2: DOS(E_F) 2.2 states/eV per cell.